A plane-wave DFT calculation with PBE was carried out for a geometry-optimized NdAl2GaPd2 structure.

POSCAR file:
```
NdAl2GaPd2
1.0
4.6545 0.0000 0.0000
0.0000 4.6545 0.0000
0.0000 0.0000 5.6872
Nd Al Ga Pd
1 2 1 2
Cartesian
0.0000 0.0000 0.0000
2.3272 2.3272 1.3864
2.3272 2.3272 4.3008
0.0000 0.0000 2.8436
0.0000 2.3272 2.8436
2.3272 0.0000 2.8436
```

Output
Electronic total energy   -4.76 eV/atom

---

A plane-wave DFT calculation with PBE was carried out for a geometry-optimized TaNbAlAu structure.

POSCAR file:
```
TaNbAlAu
1.0
3.3462 0.0000 0.0000
0.0000 3.3462 0.0000
0.0000 0.0000 14.1029
Ta Nb Al Au
2 2 2 2
Cartesian
0.0000 0.0000 0.0000
1.6731 1.6731 7.0515
0.0000 0.0000 5.7010
1.6731 1.6731 12.7525
0.0000 0.0000 11.1352
1.6731 1.6731 4.0837
0.0000 0.0000 2.7381
1.6731 1.6731 9.7895
```

Output
Electronic total energy   -7.07 eV/atom

---

A plane-wave DFT calculation with PBE was carried out for a geometry-optimized NaNiH6Pt structure.

POSCAR file:
```
NaNiH6Pt
1.0
4.6780 0.0000 0.0000
-2.3390 4.0513 0.0000
0.0000 0.0000 4.6857
Na Ni H Pt
1 1 6 1
Cartesian
0.0000 0.0000 0.0000
0.0000 2.7009 2.3428
-0.8436 1.4977 1.5109
-1.4638 2.5719 3.1748
0.8436 1.4977 3.1748
-0.6202 4.0330 1.5109
1.4638 2.5719 1.5109
0.6202 4.0330 3.1748
2.3390 1.3504 2.3428
```

Output
Electronic total energy   -3.80 eV/atom

---

A plane-wave DFT calculation with PBE was carried out for a geometry-optimized ZrBe3Fe3 structure.

POSCAR file:
```
ZrBe3Fe3
1.0
5.6219 0.0000 0.0000
0.0000 5.6219 0.0000
0.0000 0.0000 5.6219
Zr Be Fe
2 6 6
Cartesian
0.0000 0.0000 0.0000
2.8109 2.8109 2.8109
0.0000 1.4055 2.8109
0.0000 4.2164 2.8109
1.4055 2.8109 0.0000
2.8109 0.0000 1.4055
2.8109 0.0000 4.2164
4.2164 2.8109 0.0000
0.0000 2.8109 1.4055
0.0000 2.8109 4.2164
1.4055 0.0000 2.8109
2.8109 1.4055 0.0000
2.8109 4.2164 0.0000
4.2164 0.0000 2.8109
```

Output
Electronic total energy   -5.82 eV/atom